Record 1
# Ba2Te2PtF2, relaxed, DFT PBE
data_Ba2Te2PtF2
_symmetry_space_group_name_H-M 'P 1'
_symmetry_Int_Tables_number 1
_symmetry_space_group_name_Hall 'P 1'
_cell_length_a 4.6574
_cell_length_b 4.6574
_cell_length_c 8.3532
_cell_angle_alpha 90.00
_cell_angle_beta 90.00
_cell_angle_gamma 90.00
loop_
_atom_site_label
_atom_site_type_symbol
_atom_site_fract_x
_atom_site_fract_y
_atom_site_fract_z
Ba1 Ba 0.0000 0.5000 0.1668
Ba2 Ba 0.5000 0.0000 0.8332
Te1 Te 0.0000 0.5000 0.6417
Te2 Te 0.5000 0.0000 0.3583
Pt1 Pt 0.0000 0.0000 0.5000
F1 F 0.0000 0.0000 0.0000
F2 F 0.5000 0.5000 0.0000
# - E (eV for the cell shown) = -35.21
# - SG = P-4m2, No. 115
# - crystal system = tetragonal

=====

Record 2
# Ba2ZnS2F2, relaxed, DFT PBE
data_Ba2ZnS2F2
_symmetry_space_group_name_H-M 'P 1'
_symmetry_Int_Tables_number 1
_symmetry_space_group_name_Hall 'P 1'
_cell_length_a 4.0955
_cell_length_b 4.0955
_cell_length_c 9.0148
_cell_angle_alpha 90.00
_cell_angle_beta 90.00
_cell_angle_gamma 90.00
loop_
_atom_site_label
_atom_site_type_symbol
_atom_site_fract_x
_atom_site_fract_y
_atom_site_fract_z
Ba1 Ba 0.0000 0.5000 0.1817
Ba2 Ba 0.5000 0.0000 0.8183
Zn1 Zn 0.5000 0.5000 0.5000
S1 S 0.0000 0.5000 0.6448
S2 S 0.5000 0.0000 0.3552
F1 F 0.0000 0.0000 0.0000
F2 F 0.5000 0.5000 0.0000
# - E (eV for the cell shown) = -34.03
# - SG = P-4m2, No. 115
# - crystal system = tetragonal

=====

Record 3
# BaTa2F12, relaxed, DFT PBE
data_BaTa2F12
_symmetry_space_group_name_H-M 'P 1'
_symmetry_Int_Tables_number 1
_symmetry_space_group_name_Hall 'P 1'
_cell_length_a 4.9264
_cell_length_b 5.2206
_cell_length_c 8.4875
_cell_angle_alpha 75.88
_cell_angle_beta 79.26
_cell_angle_gamma 62.39
loop_
_atom_site_label
_atom_site_type_symbol
_atom_site_fract_x
_atom_site_fract_y
_atom_site_fract_z
Ba1 Ba 0.0000 0.0000 0.0000
Ta1 Ta 0.3251 0.2864 0.2849
Ta2 Ta 0.4629 0.5151 0.6547
F1 F 0.0310 0.7326 0.6754
F2 F 0.0879 0.1390 0.4411
F3 F 0.1829 0.6566 0.3423
F4 F 0.4011 0.2566 0.8521
F5 F 0.4357 0.9834 0.1537
F6 F 0.4586 0.7824 0.7753
F7 F 0.4649 0.2297 0.5430
F8 F 0.4773 0.4858 0.0754
F9 F 0.6175 0.6837 0.4593
F10 F 0.7540 0.1041 0.2916
F11 F 0.8811 0.2901 0.7126
F12 F 0.9788 0.4798 0.1470
# - E (eV for the cell shown) = -97.24
# - SG = P1, No. 1
# - crystal system = triclinic